# 1
First-principles (PBE-GGA) data for a geometry-optimized Nd4MgIn structure, as listed in Alexandria.

Lattice parameters (Å, degrees): 9.4312 5.2228 9.5140 90.00 112.80 90.00
Space group C2/m (No. 12)
Inequivalent atoms, fractional coordinates:
Nd1 0.1215 0.0000 0.3740 (multiplicity 4)
Nd2 0.1266 0.5000 0.8738 (multiplicity 4)
Mg1 0.0000 0.0000 0.0000 (multiplicity 2)
In1 0.0000 0.5000 0.5000 (multiplicity 2)

## Properties
The total magnetic moment comes out at 0.0 Bohr magnetons per cell. The calculation puts the excess energy over the best structure of this formula in the dataset at 0.65 eV per formula unit. The mass density is 5.50 g/cm3. The total energy comes out at -3.77 eV/atom. The formation enthalpy at 0 K comes out at 0.127 eV/atom.

# 2
First-principles (PBE-GGA) data for a geometry-optimized Nd3Mg5In12 structure, as listed in Alexandria.

Lattice parameters (Å, degrees): 17.6101 17.6101 17.6101 90.00 90.00 90.00
Space group Ia-3d (No. 230)
Inequivalent atoms, fractional coordinates:
Nd1 0.0000 0.2500 0.1250 (multiplicity 24)
Mg1 0.0000 0.0000 0.0000 (multiplicity 16)
Mg2 0.0000 0.2500 0.3750 (multiplicity 24)
In1 0.0120 0.0720 0.6466 (multiplicity 96)

## Properties
The total magnetic moment comes out at 0.0 Bohr magnetons per cell. The mass density is 4.70 g/cm3. The total energy comes out at -2.55 eV/atom. The formation enthalpy at 0 K comes out at 0.210 eV/atom.

# 3
First-principles (PBE-GGA) data for a geometry-optimized NdMgIn structure, as listed in Alexandria.

Lattice parameters (Å, degrees): 5.0130 5.0130 3.7561 90.00 90.00 120.00
Space group P-6m2 (No. 187)
Inequivalent atoms, fractional coordinates:
Nd1 0.0000 0.0000 0.0000 (multiplicity 1)
Mg1 0.6667 0.3333 0.5000 (multiplicity 1)
In1 0.3333 0.6667 0.5000 (multiplicity 1)

## Properties
The total magnetic moment comes out at 0.0 Bohr magnetons per cell. The mass density is 5.76 g/cm3. The total energy comes out at -3.40 eV/atom. The formation enthalpy at 0 K comes out at -0.363 eV/atom.

# 4
First-principles (PBE-GGA) data for a geometry-optimized NdMgIn3 structure, as listed in Alexandria.

Lattice parameters (Å, degrees): 4.6231 7.4021 7.8531 90.00 90.00 90.00
Space group Pmmn (No. 59, origin choice 2)
Inequivalent atoms, fractional coordinates:
Nd1 0.2500 0.2500 0.1845 (multiplicity 2)
Mg1 0.2500 0.7500 0.4740 (multiplicity 2)
In1 0.2500 0.0500 0.7166 (multiplicity 4)
In2 0.2500 0.7500 0.0962 (multiplicity 2)

## Properties
The total magnetic moment comes out at 0.0 Bohr magnetons per cell. The mass density is 6.34 g/cm3. The total energy comes out at -3.16 eV/atom. The formation enthalpy at 0 K comes out at -0.247 eV/atom.

# 5
First-principles (PBE-GGA) data for a geometry-optimized NdMg4In structure, as listed in Alexandria.

Lattice parameters (Å, degrees): 8.5274 8.5274 8.5274 90.00 90.00 90.00
Space group F-43m (No. 216)
Inequivalent atoms, fractional coordinates:
Nd1 0.0000 0.0000 0.0000 (multiplicity 4)
Mg1 0.1249 0.1249 0.6249 (multiplicity 16)
In1 0.2500 0.2500 0.2500 (multiplicity 4)

## Properties
The total magnetic moment comes out at 0.0 Bohr magnetons per cell. The mass density is 3.82 g/cm3. The total energy comes out at -2.34 eV/atom. The formation enthalpy at 0 K comes out at -0.028 eV/atom.

# 6
First-principles (PBE-GGA) data for a geometry-optimized Nd4MgIn2 structure, as listed in Alexandria.

Lattice parameters (Å, degrees): 5.4177 5.4177 25.9517 90.00 90.00 120.00
Space group R-3m (No. 166, hexagonal axes)
Inequivalent atoms, fractional coordinates:
Nd1 0.0000 0.0000 0.1150 (multiplicity 6)
Nd2 0.0000 0.0000 0.3684 (multiplicity 6)
Mg1 0.0000 0.0000 0.5000 (multiplicity 3)
In1 0.0000 0.0000 0.2429 (multiplicity 6)

## Properties
The total magnetic moment comes out at 0.0 Bohr magnetons per cell. The calculation puts the excess energy over the best structure of this formula in the dataset at 0.00 eV per formula unit. The mass density is 6.27 g/cm3. The total energy comes out at -4.00 eV/atom. The formation enthalpy at 0 K comes out at -0.263 eV/atom.

# 7
First-principles (PBE-GGA) data for a geometry-optimized Nd12MgIn6 structure, as listed in Alexandria.

Lattice parameters (Å, degrees): 14.5780 14.5780 10.0255 90.00 90.00 120.00
Space group R-3 (No. 148, hexagonal axes)
Inequivalent atoms, fractional coordinates:
Nd1 0.0531 0.2566 0.4086 (multiplicity 18)
Nd2 0.0557 0.1990 0.7606 (multiplicity 18)
Mg1 0.0000 0.0000 0.5000 (multiplicity 3)
In1 0.0643 0.2371 0.0770 (multiplicity 18)

## Properties
The total magnetic moment comes out at 0.0 Bohr magnetons per cell. The mass density is 6.60 g/cm3. The total energy comes out at -4.07 eV/atom. The formation enthalpy at 0 K comes out at -0.115 eV/atom.

# 8
First-principles (PBE-GGA) data for a geometry-optimized NdMgIn structure, as listed in Alexandria.

Lattice parameters (Å, degrees): 7.7117 7.7117 4.7805 90.00 90.00 120.00
Space group P-62m (No. 189)
Inequivalent atoms, fractional coordinates:
Nd1 0.0000 0.5695 0.0000 (multiplicity 3)
Mg1 0.0000 0.2412 0.5000 (multiplicity 3)
In1 0.0000 0.0000 0.0000 (multiplicity 1)
In2 0.3333 0.6667 0.5000 (multiplicity 2)

## Properties
The total magnetic moment comes out at 0.0 Bohr magnetons per cell. The mass density is 5.73 g/cm3. The total energy comes out at -3.45 eV/atom. The formation enthalpy at 0 K comes out at -0.420 eV/atom.

# 9
First-principles (PBE-GGA) data for a geometry-optimized Nd5MgIn3 structure, as listed in Alexandria.

Lattice parameters (Å, degrees): 9.6060 9.6060 6.7785 90.00 90.00 120.00
Space group P6_3/mcm (No. 193)
Inequivalent atoms, fractional coordinates:
Nd1 0.0000 0.3083 0.2500 (multiplicity 6)
Nd2 0.3333 0.6667 0.0000 (multiplicity 4)
Mg1 0.0000 0.0000 0.0000 (multiplicity 2)
In1 0.0000 0.3532 0.7500 (multiplicity 6)

## Properties
The total magnetic moment comes out at 0.0 Bohr magnetons per cell. The mass density is 6.68 g/cm3. The total energy comes out at -4.10 eV/atom. The formation enthalpy at 0 K comes out at -0.364 eV/atom.

# 10
First-principles (PBE-GGA) data for a geometry-optimized Nd2MgIn structure, as listed in Alexandria.

Lattice parameters (Å, degrees): 5.3645 5.3645 4.0505 90.00 90.00 90.00
Space group P4/mmm (No. 123)
Inequivalent atoms, fractional coordinates:
Nd1 0.0000 0.5000 0.0000 (multiplicity 2)
Mg1 0.0000 0.0000 0.5000 (multiplicity 1)
In1 0.5000 0.5000 0.5000 (multiplicity 1)

## Properties
The total magnetic moment comes out at 0.0 Bohr magnetons per cell. The calculation puts the excess energy over the best structure of this formula in the dataset at 0.07 eV per formula unit. The mass density is 6.09 g/cm3. The total energy comes out at -3.78 eV/atom. The formation enthalpy at 0 K comes out at -0.317 eV/atom.

# 11
First-principles (PBE-GGA) data for a geometry-optimized Nd3Mg4In2 structure, as listed in Alexandria.

Lattice parameters (Å, degrees): 11.3890 5.1215 9.6440 90.00 119.49 90.00
Space group C2/m (No. 12)
Inequivalent atoms, fractional coordinates:
Nd1 0.0000 0.0000 0.0000 (multiplicity 2)
Nd2 0.1638 0.5000 0.6706 (multiplicity 4)
Mg1 0.0752 0.0000 0.4055 (multiplicity 4)
Mg2 0.2073 0.5000 0.0423 (multiplicity 4)
In1 0.1105 0.5000 0.2757 (multiplicity 4)

## Properties
The total magnetic moment comes out at 0.0 Bohr magnetons per cell. The mass density is 5.15 g/cm3. The total energy comes out at -3.19 eV/atom. The formation enthalpy at 0 K comes out at -0.287 eV/atom.

# 12
First-principles (PBE-GGA) data for a geometry-optimized Nd2MgIn8 structure, as listed in Alexandria.

Lattice parameters (Å, degrees): 4.8933 4.8933 12.2225 90.00 90.00 90.00
Space group P4/mmm (No. 123)
Inequivalent atoms, fractional coordinates:
Nd1 0.0000 0.0000 0.1887 (multiplicity 2)
Mg1 0.0000 0.0000 0.5000 (multiplicity 1)
In1 0.0000 0.5000 0.0000 (multiplicity 2)
In2 0.0000 0.5000 0.3694 (multiplicity 4)
In3 0.5000 0.5000 0.1889 (multiplicity 2)

## Properties
The total magnetic moment comes out at 0.0 Bohr magnetons per cell. The mass density is 6.99 g/cm3. The total energy comes out at -3.32 eV/atom. The formation enthalpy at 0 K comes out at -0.320 eV/atom.